A plane-wave DFT calculation with PBEsol was carried out for La3Si2S8I after structural relaxation.

Cell and atoms, written as POSCAR:
```
La3Si2S8I
1.0
7.860 0.000 0.000
-3.930 7.932 -0.002
0.000 -1.486 10.730
La Si S I
6 4 16 2
Cartesian
3.192 -0.371 2.682
4.668 -1.114 8.047
-0.947 2.870 1.933
2.983 4.319 3.430
4.878 3.576 8.795
0.947 2.127 7.298
-0.291 4.697 5.037
4.221 1.749 5.690
0.291 3.954 10.402
3.639 2.492 0.325
2.729 0.255 5.837
-1.201 5.449 10.256
1.201 6.191 4.891
5.132 0.997 0.472
3.122 1.132 9.007
4.738 1.875 3.642
-0.808 4.571 7.086
0.808 5.314 1.721
2.004 2.086 1.598
-1.926 5.103 3.764
1.926 4.360 9.129
5.856 1.343 6.963
4.483 4.359 0.922
0.552 2.830 4.440
-0.552 2.087 9.805
3.378 3.616 6.287
0.111 -1.114 8.047
7.749 -0.371 2.682
```

## Properties
- Raw formation energy: -22.14 eV/f.u.
- DOS at the Fermi energy: 0.00 states/eV per cell
- Theoretical density: 4.25 g/cm3
- Magnetic moment: 0.0 μB per formula unit
- Space-group type: C2/c, No. 15



A plane-wave DFT calculation with PBEsol was carried out for La2Sb2I after structural relaxation.

Cell and atoms, written as POSCAR:
```
La2Sb2I
1.0
5.908 0.000 0.000
-2.954 5.884 0.042
0.000 2.929 5.131
I Sb La
1 2 2
Cartesian
0.000 0.000 0.000
2.954 2.680 1.871
0.000 6.133 3.301
2.954 5.139 3.869
0.000 3.674 1.304
```

## Properties
- Raw formation energy: -4.29 eV/f.u.
- DOS at the Fermi energy: 3.28 states/eV per cell
- Theoretical density: 6.06 g/cm3
- Magnetic moment: 0.0 μB per formula unit
- Space-group type: I4/mmm, No. 139